{"formula": "Pu3GaAu", "functional": "PBE", "state": "optimized geometry", "total_magnetization_mub_per_atom": 1.155, "total_energy_ev_per_atom": -10.0670, "formation_energy_ev_per_atom": -0.207, "cell": [[-3.5168, -4.9664, 3.0956], [8.1219, -2.8543, 4.6476], [-1.3207, 4.2284, 4.9049]], "species": ["Pu", "Pu", "Pu", "Pu", "Pu", "Pu", "Pu", "Pu", "Pu", "Pu", "Pu", "Pu", "Ga", "Ga", "Ga", "Ga", "Au", "Au", "Au", "Au"], "fractional_positions": [[0.6038, 0.1359, 0.3413], [0.1038, 0.3641, 0.8413], [0.5416, 0.6082, 0.2844], [0.9584, 0.1082, 0.2156], [0.4584, 0.3918, 0.7156], [0.3962, 0.8641, 0.6587], [0.2824, 0.8690, 0.2896], [0.7176, 0.1310, 0.7104], [0.8962, 0.6359, 0.1587], [0.0416, 0.8918, 0.7844], [0.7824, 0.6310, 0.7896], [0.2176, 0.3690, 0.2104], [0.2309, 0.1430, 0.5702], [0.7691, 0.8570, 0.4298], [0.7309, 0.3570, 0.0702], [0.2691, 0.6430, 0.9298], [0.1593, 0.6042, 0.5280], [0.3407, 0.1042, 0.9720], [0.8407, 0.3958, 0.4720], [0.6593, 0.8958, 0.0280]]}

---

{"formula": "RbPm2CuS4", "functional": "PBE", "state": "optimized geometry", "e_form_raw_ev_per_atom": -1.638, "total_magnetization_mub_per_atom": 0.000, "total_energy_ev_per_atom": -5.5228, "cell": [[4.0713, 0.0000, 0.0000], [-2.0357, 7.0422, 0.0000], [0.0000, 0.0000, 14.0174]], "species": ["Rb", "Rb", "Pm", "Pm", "Pm", "Pm", "Cu", "Cu", "S", "S", "S", "S", "S", "S", "S", "S"], "fractional_positions": [[0.1061, 0.2122, 0.7500], [0.8939, 0.7878, 0.2500], [0.3656, 0.7311, 0.5616], [0.6344, 0.2689, 0.0616], [0.6344, 0.2689, 0.4384], [0.3656, 0.7311, 0.9384], [0.8355, 0.6709, 0.7500], [0.1645, 0.3291, 0.2500], [0.2599, 0.5197, 0.1119], [0.7401, 0.4803, 0.6119], [0.7401, 0.4803, 0.8881], [0.2599, 0.5197, 0.3881], [0.0000, 0.0000, 0.5000], [0.0000, 0.0000, 0.0000], [0.4244, 0.8487, 0.7500], [0.5756, 0.1513, 0.2500]]}

---

{"formula": "ScRh2Cl", "functional": "PBE", "state": "optimized geometry", "e_form_raw_ev_per_atom": -0.433, "total_magnetization_mub_per_atom": 0.000, "total_energy_ev_per_atom": -6.1533, "cell": [[4.9196, 0.0076, 0.0225], [3.9594, 2.9198, 0.0225], [3.6488, 1.2030, 4.8629]], "species": ["Cl", "Rh", "Rh", "Sc"], "fractional_positions": [[0.1631, 0.1631, 0.3970], [0.0558, 0.0558, 0.9275], [0.8240, 0.8240, 0.8203], [0.4571, 0.4571, 0.3552]]}